1.
! PBEsol Ca2CdP, relaxed; values from VASP
&SYSTEM
  ibrav = 0, nat = 4, ntyp = 3
/
ATOMIC_SPECIES
Ca 40.08 Ca.upf
Cd 112.41 Cd.upf
P 30.97 P.upf
CELL_PARAMETERS angstrom
4.170 0.000 0.000
0.000 2.129 5.553
0.000 -2.129 5.553
ATOMIC_POSITIONS angstrom
Ca 0.000 0.000 0.000
Ca 2.085 0.000 3.153
Cd 2.085 0.000 6.355
P 0.000 0.000 8.117
! density of states at the Fermi level = 1.0 states/eV/cell
! E_form = -0.72 eV per atom
! energy above the lowest structure with this stoichiometry = 0.0 meV per atom
! electronic total energy = -14.1 eV per cell

=====

2.
! PBEsol Ca2CdP, relaxed; values from VASP
&SYSTEM
  ibrav = 0, nat = 4, ntyp = 3
/
ATOMIC_SPECIES
Ca 40.08 Ca.upf
Cd 112.41 Cd.upf
P 30.97 P.upf
CELL_PARAMETERS angstrom
2.111 1.219 7.266
-2.111 1.219 7.266
0.000 -2.437 7.266
ATOMIC_POSITIONS angstrom
Ca 0.000 0.000 5.040
Ca 0.000 0.000 16.758
Cd 0.000 0.000 0.000
P 0.000 0.000 10.899
! density of states at the Fermi level = 1.7 states/eV/cell
! E_form = -0.65 eV per atom
! energy above the lowest structure with this stoichiometry = 69.4 meV per atom
! electronic total energy = -13.8 eV per cell

=====

3.
! PBEsol Ca2CdP, relaxed; values from VASP
&SYSTEM
  ibrav = 0, nat = 4, ntyp = 3
/
ATOMIC_SPECIES
Ca 40.08 Ca.upf
Cd 112.41 Cd.upf
P 30.97 P.upf
CELL_PARAMETERS angstrom
-2.565 2.565 3.576
2.565 -2.565 3.576
2.565 2.565 -3.576
ATOMIC_POSITIONS angstrom
Ca 2.565 0.000 1.788
Ca 0.000 2.565 1.788
Cd 0.000 0.000 0.000
P 0.000 0.000 3.576
! density of states at the Fermi level = 2.8 states/eV/cell
! E_form = -0.54 eV per atom
! energy above the lowest structure with this stoichiometry = 170.9 meV per atom
! electronic total energy = -13.4 eV per cell

=====

4.
! PBEsol CaCdP2S, relaxed; values from VASP
&SYSTEM
  ibrav = 0, nat = 5, ntyp = 4
/
ATOMIC_SPECIES
Ca 40.08 Ca.upf
Cd 112.41 Cd.upf
P 30.97 P.upf
S 32.06 S.upf
CELL_PARAMETERS angstrom
5.133 0.000 0.000
0.000 5.133 0.000
0.000 0.000 4.993
ATOMIC_POSITIONS angstrom
Ca 0.000 0.000 0.000
Cd 2.566 2.566 2.497
P 0.000 2.566 0.000
P 2.566 0.000 0.000
S 0.000 0.000 2.497
! density of states at the Fermi level = 4.8 states/eV/cell
! ΔE_f (raw) = 73.7 kJ/mol of atoms
! electronic total energy = -15.5 eV per cell

=====

5.
! PBEsol Ca2CdPb, relaxed; values from VASP
&SYSTEM
  ibrav = 0, nat = 4, ntyp = 3
/
ATOMIC_SPECIES
Ca 40.08 Ca.upf
Cd 112.41 Cd.upf
Pb 207.20 Pb.upf
CELL_PARAMETERS angstrom
5.324 0.000 0.000
0.000 5.324 0.000
0.000 0.000 3.886
ATOMIC_POSITIONS angstrom
Ca 0.000 2.662 0.000
Ca 2.662 0.000 0.000
Cd 0.000 0.000 1.943
Pb 2.662 2.662 1.943
! density of states at the Fermi level = 1.4 states/eV/cell
! E_form = -0.50 eV per atom
! energy above the lowest structure with this stoichiometry = 26.8 meV per atom
! electronic total energy = -11.5 eV per cell

=====

6.
! PBEsol CaCdPb2, relaxed; values from VASP
&SYSTEM
  ibrav = 0, nat = 4, ntyp = 3
/
ATOMIC_SPECIES
Ca 40.08 Ca.upf
Cd 112.41 Cd.upf
Pb 207.20 Pb.upf
CELL_PARAMETERS angstrom
5.946 -1.843 0.000
5.946 1.843 0.000
-2.109 0.000 4.957
ATOMIC_POSITIONS angstrom
Ca 0.000 0.000 0.000
Cd 1.680 0.000 3.141
Pb 4.988 0.000 2.528
Pb 8.686 0.000 0.685
! density of states at the Fermi level = 2.0 states/eV/cell
! E_form = -0.25 eV per atom
! electronic total energy = -12.3 eV per cell